VASP calculation (PBE-GGA) on a relaxed structure of Cs2MgZnI6.

Calculated values
**Mass density**: 4339 kg/m³
**Formation energy (no corrections)**: -1.03 eV per atom
**SG**: I4/mmm

Structure (extended XYZ):
```
10
Lattice="8.5347 0.0000 0.0000 0.0000 8.5347 0.0000 4.2674 4.2674 5.8677" Properties=species:S:1:pos:R:3 pbc="T T T"
I 6.2854 2.2493 0.0000
I 2.2493 6.2854 0.0000
I 4.2674 4.2674 3.2887
I 2.2493 2.2493 0.0000
I 6.2854 6.2854 0.0000
I 8.5347 8.5347 2.5789
Cs 8.5347 4.2674 2.9338
Cs 4.2674 8.5347 2.9338
Mg 4.2674 4.2674 0.0000
Zn 0.0000 0.0000 0.0000
```

***

VASP calculation (PBE-GGA) on a relaxed structure of SmYIn4.

Calculated values
**Mass density**: 7500 kg/m³
**Energy of formation**: -377 meV/atom
**Relative energy among the computed polymorphs**: 0.051 eV/atom
**SG**: F-43m

Structure (extended XYZ):
```
6
Lattice="-2.9466 4.8142 -2.1078 -4.6197 -0.7210 -3.8000 -5.6226 1.1360 1.8433" Properties=species:S:1:pos:R:3 pbc="T T T"
In -6.7697 0.8613 -1.4865
In -5.4319 2.7002 -3.4618
In -5.9333 3.6286 -0.6404
In -8.2429 3.2681 -2.5402
Sm 0.0000 0.0000 0.0000
Y -3.2972 1.3073 -1.0161
```